VASP calculation (GGA-PBE) on a relaxed Ce2Al2CdRh5 crystal.

Values from the calculation:
Symmetry   P4/mbm, No. 127
DFT formation energy   -0.70 eV per atom

a b c (Å): 9.8834 9.8834 3.6308
angles (deg): 90.00 90.00 90.00
Atoms (fractional coordinates):
Ce (0.1795, 0.3205, 0.0000)
Ce (0.3205, 0.8205, 0.0000)
Ce (0.6795, 0.1795, 0.0000)
Ce (0.8205, 0.6795, 0.0000)
Al (0.1190, 0.6190, 0.0000)
Al (0.3810, 0.1190, 0.0000)
Al (0.6190, 0.8810, 0.0000)
Al (0.8810, 0.3810, 0.0000)
Cd (0.0000, 0.0000, 0.0000)
Cd (0.5000, 0.5000, 0.0000)
Rh (0.0000, 0.5000, 0.5000)
Rh (0.0742, 0.7880, 0.5000)
Rh (0.2120, 0.0742, 0.5000)
Rh (0.2880, 0.5742, 0.5000)
Rh (0.4258, 0.2880, 0.5000)
Rh (0.5000, 0.0000, 0.5000)
Rh (0.5742, 0.7120, 0.5000)
Rh (0.7120, 0.4258, 0.5000)
Rh (0.7880, 0.9258, 0.5000)
Rh (0.9258, 0.2120, 0.5000)

---

VASP calculation (GGA-PBE) on a relaxed CeThAlCd crystal.

Values from the calculation:
Symmetry   F-43m, No. 216
DFT formation energy   -0.14 eV per atom

a b c (Å): 5.3317 5.3317 5.3317
angles (deg): 60.00 60.00 60.00
Atoms (fractional coordinates):
Ce (0.0000, 0.0000, 0.0000)
Th (0.5000, 0.5000, 0.5000)
Al (0.7500, 0.7500, 0.7500)
Cd (0.2500, 0.2500, 0.2500)

---

VASP calculation (GGA-PBE) on a relaxed CeAlZnCd crystal.

Values from the calculation:
Symmetry   F-43m, No. 216
DFT formation energy   -0.21 eV per atom

a b c (Å): 4.9370 4.9370 4.9370
angles (deg): 60.00 60.00 60.00
Atoms (fractional coordinates):
Ce (0.0000, 0.0000, 0.0000)
Al (0.7500, 0.7500, 0.7500)
Zn (0.2500, 0.2500, 0.2500)
Cd (0.5000, 0.5000, 0.5000)

---

VASP calculation (GGA-PBE) on a relaxed CeZrAlCd crystal.

Values from the calculation:
Symmetry   F-43m, No. 216
DFT formation energy   -0.13 eV per atom

a b c (Å): 5.0963 5.0963 5.0963
angles (deg): 60.00 60.00 60.00
Atoms (fractional coordinates):
Ce (0.0000, 0.0000, 0.0000)
Zr (0.5000, 0.5000, 0.5000)
Al (0.7500, 0.7500, 0.7500)
Cd (0.2500, 0.2500, 0.2500)

---

VASP calculation (GGA-PBE) on a relaxed Al2CdCl crystal.

Values from the calculation:
Formation energy from raw total energies   -24.3 meV/atom
Symmetry   Cmmm, No. 65
E above lowest polymorph   15.5 kJ per mole of atoms

a b c (Å): 3.1745 3.1745 9.4437
angles (deg): 90.00 90.00 121.65
Atoms (fractional coordinates):
Al (0.0000, 0.0000, 0.2282)
Al (0.0000, 0.0000, 0.7718)
Cd (0.5000, 0.5000, 0.5000)
Cl (0.5000, 0.5000, 0.0000)

---

VASP calculation (GGA-PBE) on a relaxed AlCdCl crystal.

Values from the calculation:
Formation energy from raw total energies   68.7 meV/atom
Symmetry   F-43m, No. 216
E above lowest polymorph   34.1 kJ per mole of atoms

a b c (Å): 4.9778 4.9778 4.9778
angles (deg): 60.00 60.00 60.00
Atoms (fractional coordinates):
Al (0.0000, 0.0000, 0.0000)
Cd (0.7500, 0.7500, 0.7500)
Cl (0.5000, 0.5000, 0.5000)

---

VASP calculation (GGA-PBE) on a relaxed Al2CdCl crystal.

Values from the calculation:
Formation energy from raw total energies   175.2 meV/atom
Symmetry   Fm-3m, No. 225
E above lowest polymorph   34.7 kJ per mole of atoms

a b c (Å): 4.9717 4.9717 4.9717
angles (deg): 60.00 60.00 60.00
Atoms (fractional coordinates):
Al (0.2500, 0.2500, 0.2500)
Al (0.7500, 0.7500, 0.7500)
Cd (0.0000, 0.0000, 0.0000)
Cl (0.5000, 0.5000, 0.5000)

---

VASP calculation (GGA-PBE) on a relaxed AlCd2Cl crystal.

Values from the calculation:
Formation energy from raw total energies   -26.9 meV/atom
Symmetry   I4/mmm, No. 139
E above lowest polymorph   19.6 kJ per mole of atoms

a b c (Å): 6.4242 6.4242 6.4242
angles (deg): 141.83 141.83 55.09
Atoms (fractional coordinates):
Al (0.0000, 0.0000, 0.0000)
Cd (0.2500, 0.7500, 0.5000)
Cd (0.7500, 0.2500, 0.5000)
Cl (0.5000, 0.5000, 0.0000)

---

VASP calculation (GGA-PBE) on a relaxed Al2CdCl crystal.

Values from the calculation:
Formation energy from raw total energies   -14.8 meV/atom
Symmetry   Imm2, No. 44
E above lowest polymorph   16.4 kJ per mole of atoms

a b c (Å): 5.9394 5.9394 5.9394
angles (deg): 150.10 125.02 63.85
Atoms (fractional coordinates):
Al (0.0000, 0.0000, 0.0000)
Al (0.7756, 0.2756, 0.5000)
Cd (0.2727, 0.7727, 0.5000)
Cl (0.5771, 0.5771, 0.0000)

---

VASP calculation (GGA-PBE) on a relaxed AlCdCl5 crystal.

Values from the calculation:
Formation energy from raw total energies   -1301.1 meV/atom
Symmetry   C2/c, No. 15
E above lowest polymorph   0.0 kJ per mole of atoms

a b c (Å): 7.0992 7.0992 9.4461
angles (deg): 109.42 109.42 89.96
Atoms (fractional coordinates):
Al (0.1085, 0.8915, 0.7500)
Al (0.8915, 0.1085, 0.2500)
Cd (0.5000, 0.5000, 0.0000)
Cd (0.5000, 0.5000, 0.5000)
Cl (0.1622, 0.2177, 0.8361)
Cl (0.2123, 0.7591, 0.5525)
Cl (0.2177, 0.1622, 0.3361)
Cl (0.2409, 0.7877, 0.9475)
Cl (0.4114, 0.5886, 0.2500)
Cl (0.5886, 0.4114, 0.7500)
Cl (0.7591, 0.2123, 0.0525)
Cl (0.7823, 0.8378, 0.6639)
Cl (0.7877, 0.2409, 0.4475)
Cl (0.8378, 0.7823, 0.1639)

---

VASP calculation (GGA-PBE) on a relaxed Al3CdCl crystal.

Values from the calculation:
Formation energy from raw total energies   581.7 meV/atom
Symmetry   Pm-3m, No. 221
E above lowest polymorph   10.4 kJ per mole of atoms

a b c (Å): 5.0786 5.0786 5.0786
angles (deg): 90.00 90.00 90.00
Atoms (fractional coordinates):
Al (0.0000, 0.0000, 0.5000)
Al (0.0000, 0.5000, 0.0000)
Al (0.5000, 0.0000, 0.0000)
Cd (0.5000, 0.5000, 0.5000)
Cl (0.0000, 0.0000, 0.0000)

---

VASP calculation (GGA-PBE) on a relaxed Al2CdCl crystal.

Values from the calculation:
Formation energy from raw total energies   -143.6 meV/atom
Symmetry   Cmm2, No. 35
E above lowest polymorph   4.0 kJ per mole of atoms

a b c (Å): 3.1429 3.1429 10.2735
angles (deg): 90.00 90.00 120.43
Atoms (fractional coordinates):
Al (0.0000, 0.0000, 0.0000)
Al (0.5000, 0.5000, 0.2226)
Cd (0.5000, 0.5000, 0.7524)
Cl (0.0000, 0.0000, 0.3969)

---

VASP calculation (GGA-PBE) on a relaxed Al2CdCl crystal.

Values from the calculation:
Formation energy from raw total energies   -184.7 meV/atom
Symmetry   R3m, No. 160
E above lowest polymorph   0.0 kJ per mole of atoms

a b c (Å): 10.4559 10.4559 10.4559
angles (deg): 17.23 17.23 17.23
Atoms (fractional coordinates):
Al (0.0000, 0.0000, 0.0000)
Al (0.2658, 0.2658, 0.2658)
Cd (0.5138, 0.5138, 0.5138)
Cl (0.7217, 0.7217, 0.7217)

---

VASP calculation (GGA-PBE) on a relaxed Al2CdCl crystal.

Values from the calculation:
Formation energy from raw total energies   133.0 meV/atom
Symmetry   I-4m2, No. 119
E above lowest polymorph   30.7 kJ per mole of atoms

a b c (Å): 5.9590 5.9590 5.9590
angles (deg): 138.84 138.84 59.61
Atoms (fractional coordinates):
Al (0.0000, 0.0000, 0.0000)
Al (0.7500, 0.2500, 0.5000)
Cd (0.2500, 0.7500, 0.5000)
Cl (0.5000, 0.5000, 0.0000)

---

VASP calculation (GGA-PBE) on a relaxed AlCdCl crystal.

Values from the calculation:
Formation energy from raw total energies   -51.4 meV/atom
Symmetry   F-43m, No. 216
E above lowest polymorph   22.5 kJ per mole of atoms

a b c (Å): 4.9359 4.9359 4.9359
angles (deg): 60.00 60.00 60.00
Atoms (fractional coordinates):
Al (0.0000, 0.0000, 0.0000)
Cd (0.2500, 0.2500, 0.2500)
Cl (0.7500, 0.7500, 0.7500)

---

VASP calculation (GGA-PBE) on a relaxed Al2CdCl crystal.

Values from the calculation:
Formation energy from raw total energies   -127.2 meV/atom
Symmetry   Pm, No. 6
E above lowest polymorph   5.5 kJ per mole of atoms

a b c (Å): 2.9367 5.5368 5.0728
angles (deg): 90.00 90.01 90.00
Atoms (fractional coordinates):
Al (0.0000, 0.0000, 0.0000)
Al (0.4982, 0.5000, 0.0010)
Cd (0.9970, 0.5000, 0.5009)
Cl (0.9964, 0.0000, 0.5015)

---

VASP calculation (GGA-PBE) on a relaxed AlCdCl4 crystal.

Values from the calculation:
Formation energy from raw total energies   -1069.7 meV/atom
Symmetry   C2/m, No. 12

a b c (Å): 6.6729 6.6729 7.6253
angles (deg): 107.72 107.72 30.18
Atoms (fractional coordinates):
Al (0.0000, 0.0000, 0.0000)
Cd (0.5000, 0.5000, 0.5000)
Cl (0.1198, 0.1198, 0.2901)
Cl (0.3940, 0.3940, 0.0811)
Cl (0.6060, 0.6060, 0.9189)
Cl (0.8802, 0.8802, 0.7099)

---

VASP calculation (GGA-PBE) on a relaxed Al2CdCl8 crystal.

Values from the calculation:
Formation energy from raw total energies   -1408.5 meV/atom
Symmetry   Pc, No. 7
E above lowest polymorph   0.4 kJ per mole of atoms

a b c (Å): 7.1993 7.2496 13.3004
angles (deg): 90.00 92.20 90.00
Atoms (fractional coordinates):
Al (0.0000, 0.0641, 0.0000)
Al (0.0000, 0.9359, 0.5000)
Al (0.4167, 0.3960, 0.7978)
Al (0.4167, 0.6040, 0.2978)
Cd (0.8583, 0.2256, 0.7623)
Cd (0.8583, 0.7744, 0.2623)
Cl (0.0110, 0.0680, 0.3509)
Cl (0.0110, 0.9320, 0.8509)
Cl (0.1605, 0.4022, 0.7021)
Cl (0.1605, 0.5978, 0.2021)
Cl (0.2539, 0.0704, 0.0821)
Cl (0.2539, 0.9296, 0.5821)
Cl (0.3822, 0.4632, 0.4340)
Cl (0.3822, 0.5368, 0.9340)
Cl (0.5112, 0.1114, 0.8141)
Cl (0.5112, 0.8886, 0.3141)
Cl (0.6420, 0.4830, 0.2122)
Cl (0.6420, 0.5170, 0.7122)
Cl (0.7828, 0.0795, 0.5807)
Cl (0.7828, 0.9205, 0.0807)
Cl (0.8971, 0.3385, 0.9579)
Cl (0.8971, 0.6615, 0.4579)

---

VASP calculation (GGA-PBE) on a relaxed AlCd2Cl crystal.

Values from the calculation:
Formation energy from raw total energies   -97.1 meV/atom
Symmetry   P4mm, No. 99
E above lowest polymorph   12.8 kJ per mole of atoms

a b c (Å): 3.2037 3.2037 9.2373
angles (deg): 90.00 90.00 90.00
Atoms (fractional coordinates):
Al (0.0000, 0.0000, 0.0000)
Cd (0.0000, 0.0000, 0.4640)
Cd (0.5000, 0.5000, 0.2189)
Cl (0.5000, 0.5000, 0.8273)

---

VASP calculation (GGA-PBE) on a relaxed AlCd2Cl crystal.

Values from the calculation:
Formation energy from raw total energies   30.8 meV/atom
Symmetry   F-43m, No. 216
E above lowest polymorph   25.1 kJ per mole of atoms

a b c (Å): 5.1573 5.1573 5.1573
angles (deg): 60.00 60.00 60.00
Atoms (fractional coordinates):
Al (0.0000, 0.0000, 0.0000)
Cd (0.5000, 0.5000, 0.5000)
Cd (0.7500, 0.7500, 0.7500)
Cl (0.2500, 0.2500, 0.2500)

---

VASP calculation (GGA-PBE) on a relaxed AlCd2Cl crystal.

Values from the calculation:
Formation energy from raw total energies   -122.5 meV/atom
Symmetry   P4/mmm, No. 123
E above lowest polymorph   10.3 kJ per mole of atoms

a b c (Å): 3.3542 3.3542 7.8181
angles (deg): 90.00 90.00 90.00
Atoms (fractional coordinates):
Al (0.0000, 0.0000, 0.0000)
Cd (0.5000, 0.5000, 0.2332)
Cd (0.5000, 0.5000, 0.7668)
Cl (0.0000, 0.0000, 0.5000)

---

VASP calculation (GGA-PBE) on a relaxed AlCdCl crystal.

Values from the calculation:
Formation energy from raw total energies   -285.1 meV/atom
Symmetry   P3m1, No. 156
E above lowest polymorph   0.0 kJ per mole of atoms

a b c (Å): 3.1909 3.1909 8.0361
angles (deg): 90.00 90.00 120.00
Atoms (fractional coordinates):
Al (0.0000, 0.0000, 0.0000)
Cd (0.6667, 0.3333, 0.2974)
Cl (0.3333, 0.6667, 0.7890)

---

VASP calculation (GGA-PBE) on a relaxed AlCd2Cl crystal.

Values from the calculation:
Formation energy from raw total energies   -17.7 meV/atom
Symmetry   P4/mmm, No. 123
E above lowest polymorph   20.4 kJ per mole of atoms

a b c (Å): 4.1719 4.1719 5.8419
angles (deg): 90.00 90.00 90.00
Atoms (fractional coordinates):
Al (0.0000, 0.0000, 0.0000)
Cd (0.0000, 0.5000, 0.5000)
Cd (0.5000, 0.0000, 0.5000)
Cl (0.5000, 0.5000, 0.0000)

---

VASP calculation (GGA-PBE) on a relaxed Al2CdCl crystal.

Values from the calculation:
Formation energy from raw total energies   1.6 meV/atom
Symmetry   P2/m, No. 10
E above lowest polymorph   18.0 kJ per mole of atoms

a b c (Å): 3.2189 5.3616 4.8671
angles (deg): 90.00 90.87 90.00
Atoms (fractional coordinates):
Al (0.2430, 0.0000, 0.2574)
Al (0.7570, 0.0000, 0.7426)
Cd (0.0000, 0.5000, 0.5000)
Cl (0.5000, 0.5000, 0.0000)

---

VASP calculation (GGA-PBE) on a relaxed AlCd2Cl crystal.

Values from the calculation:
Formation energy from raw total energies   -173.9 meV/atom
Symmetry   Cmm2, No. 35
E above lowest polymorph   5.4 kJ per mole of atoms

a b c (Å): 3.2914 3.2914 10.5390
angles (deg): 90.00 90.00 123.89
Atoms (fractional coordinates):
Al (0.0000, 0.0000, 0.0000)
Cd (0.0000, 0.0000, 0.4998)
Cd (0.5000, 0.5000, 0.7618)
Cl (0.5000, 0.5000, 0.1714)

---

VASP calculation (GGA-PBE) on a relaxed AlCd2Cl8 crystal.

Values from the calculation:
Formation energy from raw total energies   -1019.6 meV/atom
Symmetry   C2/m, No. 12
E above lowest polymorph   0.0 kJ per mole of atoms

a b c (Å): 7.6745 7.6745 6.3630
angles (deg): 100.98 100.98 92.01
Atoms (fractional coordinates):
Al (0.0000, 0.0000, 0.0000)
Cd (0.2157, 0.2157, 0.6704)
Cd (0.7843, 0.7843, 0.3296)
Cl (0.0693, 0.7659, 0.1842)
Cl (0.2043, 0.2043, 0.2721)
Cl (0.2341, 0.9307, 0.8158)
Cl (0.4589, 0.4589, 0.7878)
Cl (0.5411, 0.5411, 0.2122)
Cl (0.7659, 0.0693, 0.1842)
Cl (0.7957, 0.7957, 0.7279)
Cl (0.9307, 0.2341, 0.8158)

---

VASP calculation (GGA-PBE) on a relaxed AlCd2Cl crystal.

Values from the calculation:
Formation energy from raw total energies   -76.7 meV/atom
Symmetry   P4/mmm, No. 123
E above lowest polymorph   14.7 kJ per mole of atoms

a b c (Å): 5.3788 5.3788 3.0412
angles (deg): 90.00 90.00 90.00
Atoms (fractional coordinates):
Al (0.0000, 0.0000, 0.0000)
Cd (0.0000, 0.5000, 0.5000)
Cd (0.5000, 0.0000, 0.5000)
Cl (0.5000, 0.5000, 0.0000)